CaPm2PaN4 after structural relaxation, computed with PBE.

Cell lengths 6.096, 3.589, 6.157 Å; angles 90.00, 108.69, 90.00 degrees
Sites, in units of the cell vectors:
1 Ca 0.000 0.000 0.000
2 Pm 0.000 0.500 0.500
3 Pm 0.500 0.000 0.500
4 Pa 0.500 0.500 0.000
5 N 0.269 0.000 0.768
6 N 0.276 0.500 0.235
7 N 0.724 0.500 0.765
8 N 0.731 0.000 0.232

Properties
Its crystal system is monoclinic. The calculation puts the formation energy from raw total energies at -1.46 eV/atom. As for the space-group type: No. 10.

***

Ca4PrPa3N8 after structural relaxation, computed with PBE.

Cell lengths 7.053, 7.053, 7.053 Å; angles 61.03, 61.03, 61.03 degrees
Sites, in units of the cell vectors:
1 Ca 0.000 0.000 0.000
2 Ca 0.000 0.500 0.500
3 Ca 0.500 0.000 0.500
4 Ca 0.500 0.500 0.000
5 Pr 0.500 0.500 0.500
6 Pa 0.000 0.000 0.500
7 Pa 0.000 0.500 0.000
8 Pa 0.500 0.000 0.000
9 N 0.215 0.751 0.751
10 N 0.239 0.239 0.239
11 N 0.249 0.249 0.785
12 N 0.249 0.785 0.249
13 N 0.751 0.215 0.751
14 N 0.751 0.751 0.215
15 N 0.761 0.761 0.761
16 N 0.785 0.249 0.249

Properties
Its crystal system is trigonal. The calculation puts the formation energy from raw total energies at -1.42 eV/atom. As for the space-group type: No. 166.

***

Q: Which of these has the lowest formation energy from raw total energies?
A: CaPm2PaN4